(1)
A relaxed structure of DyAgSnCl6, computed with PBE.

Properties
- space group = No. 163
- E (eV/f.u.) = -35.43
- uncorrected formation energy (eV/atom) = -1.43
- spin magnetization (μB/f.u.) = 0.0

The structure in POSCAR format:
```
DyAgSnCl6
1.0
6.876 0.000 0.000
-3.438 5.954 0.000
0.000 0.000 12.631
Dy Ag Sn Cl
2 2 2 12
Direct
0.667 0.333 0.250
0.333 0.667 0.750
0.333 0.667 0.250
0.667 0.333 0.750
0.000 0.000 0.000
0.000 0.000 0.500
0.662 0.648 0.129
0.986 0.338 0.129
0.338 0.986 0.629
0.014 0.662 0.871
0.352 0.338 0.371
0.986 0.648 0.371
0.648 0.986 0.871
0.662 0.014 0.371
0.014 0.352 0.629
0.352 0.014 0.129
0.648 0.662 0.629
0.338 0.352 0.871
```


(2)
A relaxed structure of Dy2GaCo, computed with PBE.

Properties
- formation energy (eV per atom) = -0.333
- space group = No. 51
- E (eV/f.u.) = -20.67
- ΔE to the lowest computed polymorph (eV/atom) = 0.069
- spin magnetization (μB/f.u.) = 0.0

The structure in POSCAR format:
```
Dy2GaCo
1.0
-5.079 0.071 2.106
3.057 -0.786 7.401
-1.141 8.234 -3.030
Dy Ga Co
8 4 4
Direct
0.750 0.076 0.152
0.250 0.424 0.848
0.250 0.924 0.848
0.750 0.576 0.152
0.750 0.623 0.745
0.250 0.877 0.255
0.250 0.377 0.255
0.750 0.123 0.745
0.500 0.250 0.500
0.000 0.250 0.500
0.500 0.750 0.500
0.000 0.750 0.500
0.750 0.452 0.404
0.250 0.048 0.596
0.250 0.548 0.596
0.750 0.952 0.404
```


(3)
A relaxed structure of RbCuBiO2, computed with PBE.

Properties
- space group = No. 13
- E (eV/f.u.) = -22.78
- uncorrected formation energy (eV/atom) = -0.78
- spin magnetization (μB/f.u.) = 0.0

The structure in POSCAR format:
```
RbCuBiO2
1.0
-2.670 1.886 2.762
1.150 -5.360 4.772
4.922 5.975 0.678
Rb Cu Bi O
2 2 2 4
Direct
0.202 0.500 0.750
0.798 0.500 0.250
0.000 0.000 0.000
0.000 0.000 0.500
0.494 0.000 0.250
0.506 0.000 0.750
0.692 0.803 0.927
0.692 0.197 0.573
0.308 0.803 0.427
0.308 0.197 0.073
```


(4)
A relaxed structure of HoTh4In5, computed with PBE.

Properties
- formation energy (eV per atom) = -0.317
- space group = No. 123
- E (eV/f.u.) = -51.12
- spin magnetization (μB/f.u.) = 0.0

The structure in POSCAR format:
```
HoTh4In5
1.0
3.520 0.000 0.000
0.000 3.520 0.000
0.000 0.000 22.718
Ho Th In
1 4 5
Direct
0.000 0.000 0.000
0.000 0.000 0.194
0.000 0.000 0.398
0.000 0.000 0.602
0.000 0.000 0.806
0.500 0.500 0.093
0.500 0.500 0.296
0.500 0.500 0.500
0.500 0.500 0.704
0.500 0.500 0.907
```


(5)
A relaxed structure of HoCoRe, computed with PBE.

Properties
- formation energy (eV per atom) = 0.256
- space group = No. 74
- E (eV/f.u.) = -23.36
- spin magnetization (μB/f.u.) = 1.7

The structure in POSCAR format:
```
HoCoRe
1.0
5.438 -0.317 -0.618
-2.646 4.761 0.618
-2.979 -1.228 4.440
Ho Re Co
2 2 2
Direct
0.250 0.620 0.870
0.750 0.380 0.130
0.000 0.000 0.500
0.500 0.500 0.500
0.250 0.981 0.231
0.750 0.019 0.769
```


(6)
A relaxed structure of Tb8Pb4CS3, computed with PBE.

Properties
- space group = No. 12
- E (eV/f.u.) = -90.51
- uncorrected formation energy (eV/atom) = -1.06
- spin magnetization (μB/f.u.) = 0.0

The structure in POSCAR format:
```
Tb8Pb4CS3
1.0
-1.705 -7.324 -1.607
8.407 -1.272 -3.125
-0.463 2.554 7.251
Tb Pb C S
8 4 1 3
Direct
0.217 0.685 0.969
0.217 0.685 0.433
0.267 0.302 0.535
0.752 0.685 0.969
0.248 0.315 0.031
0.733 0.698 0.465
0.783 0.315 0.567
0.783 0.315 0.031
0.500 0.000 0.000
0.500 0.000 0.500
0.000 0.000 0.000
0.000 0.000 0.500
0.000 0.500 0.000
0.500 0.500 0.000
0.500 0.500 0.500
0.000 0.500 0.500
```